No. 1
DFT (PBE) results for crystalline Ce12Ge5Ir2 at its relaxed geometry.

Cell: 7.2872 8.8098 8.9011 Å, 92.78 90.00 114.43°
Site moments in Bohr magnetons follow the coordinates.
Sites, in units of the cell vectors:
Ce 0.4481 0.3421 0.0626  0.68
Ce 0.8940 0.3421 0.0626  0.68
Ce 0.9700 0.3271 0.5452  0.73
Ce 0.4826 0.9651 0.2790  0.83
Ce 0.6428 0.6729 0.4548  0.73
Ce 0.9603 0.9205 0.1777  0.69
Ce 0.0300 0.6729 0.4548  0.73
Ce 0.1060 0.6579 0.9374  0.68
Ce 0.5519 0.6579 0.9374  0.68
Ce 0.5174 0.0349 0.7210  0.83
Ce 0.3572 0.3271 0.5452  0.73
Ce 0.0397 0.0795 0.8223  0.69
Ge 0.3288 0.6575 0.6603  -0.03
Ge 0.7177 0.4355 0.7605  -0.03
Ge 0.2823 0.5645 0.2395  -0.03
Ge 0.0000 0.0000 0.5000  -0.03
Ge 0.6712 0.3425 0.3397  -0.03
Ir 0.6995 0.0000 0.0000  -0.06
Ir 0.3005 0.0000 0.0000  -0.06

Calculated values
M_tot (μB/f.u.): 10.47
Mass density (Mg/m³): 7.76
Formation energy (meV/atom): -387


No. 2
DFT (PBE) results for crystalline CeGe3Ir3 at its relaxed geometry.

Cell: 7.0790 7.0790 7.6781 Å, 62.55 62.55 60.00°
Site moments in Bohr magnetons follow the coordinates.
Sites, in units of the cell vectors:
Ge 0.1626 0.6087 0.2868  0.00
Ge 0.6087 0.9418 0.2868  0.00
Ge 0.9418 0.1626 0.2868  0.00
Ge 0.0582 0.8374 0.7132  0.00
Ge 0.8374 0.3913 0.7132  0.00
Ge 0.3913 0.0582 0.7132  0.00
Ce 0.6654 0.6654 0.0038  0.21
Ce 0.3346 0.3346 0.9962  0.21
Ir 0.1600 0.4636 0.6640  -0.01
Ir 0.2876 0.8400 0.3360  -0.01
Ir 0.8400 0.5364 0.3360  -0.01
Ir 0.5364 0.2876 0.3360  -0.01
Ir 0.4636 0.7124 0.6640  -0.01
Ir 0.7124 0.1600 0.6640  -0.01

Calculated values
M_tot (μB/f.u.): 0.19
Mass density (Mg/m³): 11.00
Formation energy (meV/atom): -379


No. 3
DFT (PBE) results for crystalline Ce2Ge2Ir5 at its relaxed geometry.

Cell: 4.1785 4.1785 9.1395 Å, 90.00 90.00 90.00°
Site moments in Bohr magnetons follow the coordinates.
Sites, in units of the cell vectors:
Ir 0.5000 0.5000 0.5000  -0.02
Ir 0.5000 0.0000 0.2755  -0.02
Ir 0.0000 0.5000 0.7245  -0.02
Ir 0.5000 0.0000 0.7245  -0.02
Ir 0.0000 0.5000 0.2755  -0.02
Ge 0.5000 0.5000 0.1364  0.00
Ge 0.5000 0.5000 0.8636  0.00
Ce 0.0000 0.0000 0.5000  0.00
Ce 0.0000 0.0000 0.0000  0.32

Calculated values
M_tot (μB/f.u.): 0.25
Mass density (Mg/m³): 14.43
Formation energy (meV/atom): -669


No. 4
DFT (PBE) results for crystalline Ce3Ge2Ir3 at its relaxed geometry.

Cell: 4.2934 5.8191 14.2284 Å, 90.00 90.00 111.65°
Site moments in Bohr magnetons follow the coordinates.
Sites, in units of the cell vectors:
Ce 0.0782 0.1564 0.8917  0.13
Ce 0.9218 0.8436 0.3917  0.13
Ce 0.6374 0.2748 0.2500  0.29
Ce 0.0782 0.1564 0.6083  0.13
Ce 0.9218 0.8436 0.1083  0.13
Ce 0.3626 0.7252 0.7500  0.29
Ir 0.3883 0.7766 0.9506  -0.01
Ir 0.6117 0.2234 0.4506  -0.01
Ir 0.3883 0.7766 0.5494  -0.01
Ir 0.6117 0.2234 0.0494  -0.01
Ir 0.3342 0.6683 0.2500  -0.01
Ir 0.6658 0.3317 0.7500  -0.01
Ge 0.2198 0.4397 0.0905  0.01
Ge 0.2198 0.4397 0.4095  0.01
Ge 0.7802 0.5603 0.9095  0.01
Ge 0.7802 0.5603 0.5905  0.01

Calculated values
M_tot (μB/f.u.): 0.68
Mass density (Mg/m³): 11.48
Formation energy (meV/atom): -773


Among the records above, which one has the highest M_tot? Ce12Ge5Ir2